No. 1
# CuAg2Pb (GGA-PBE, optimized geometry)
# - Magnetic moment: 0.00 μB per cell
# - Formation energy from the elements: 0.1853 eV per atom
# - DOS at the Fermi energy: 0.300 states/eV/atom
# - Raw total energy: -3.191 eV per atom
data_CuAg2Pb
_chemical_formula_sum 'Cu1 Ag2 Pb1'
_symmetry_space_group_name_H-M 'P 1'
_symmetry_Int_Tables_number 1
_cell_length_a 5.0209
_cell_length_b 5.0209
_cell_length_c 5.0209
_cell_angle_alpha 127.49
_cell_angle_beta 127.49
_cell_angle_gamma 77.45
loop_
_symmetry_equiv_pos_as_xyz
'x,y,z'
loop_
_atom_site_label
_atom_site_type_symbol
_atom_site_fract_x
_atom_site_fract_y
_atom_site_fract_z
Cu1 Cu 0.5000 0.5000 0.0000
Ag1 Ag 0.2500 0.7500 0.5000
Ag2 Ag 0.0000 0.0000 0.0000
Pb1 Pb 0.7500 0.2500 0.5000

=====

No. 2
# PuSc3Rh (GGA-PBE, optimized geometry)
# - Magnetic moment: 12.74 μB per cell
# - Formation energy from the elements: -0.3529 eV per atom
# - DOS at the Fermi energy: 1.488 states/eV/atom
# - Raw total energy: -8.488 eV per atom
data_PuSc3Rh
_chemical_formula_sum 'Pu2 Sc6 Rh2'
_symmetry_space_group_name_H-M 'P 1'
_symmetry_Int_Tables_number 1
_cell_length_a 3.2663
_cell_length_b 7.9349
_cell_length_c 8.7985
_cell_angle_alpha 104.13
_cell_angle_beta 100.69
_cell_angle_gamma 90.01
loop_
_symmetry_equiv_pos_as_xyz
'x,y,z'
loop_
_atom_site_label
_atom_site_type_symbol
_atom_site_fract_x
_atom_site_fract_y
_atom_site_fract_z
Sc1 Sc 0.4101 0.4127 0.0778
Pu1 Pu 0.0147 0.1622 0.2867
Sc2 Sc 0.2153 0.3022 0.6877
Sc3 Sc 0.6152 0.9224 0.4876
Sc4 Sc 0.4204 0.8119 0.0975
Pu2 Pu 0.8158 0.0625 0.8887
Sc5 Sc 0.2333 0.7247 0.7238
Rh1 Rh 0.8161 0.5564 0.8896
Sc6 Sc 0.5972 0.5000 0.4515
Rh2 Rh 0.0144 0.6682 0.2857